This record from Alexandria describes CsInCuS2 after structural relaxation. The functional is PBE.

Cell lengths 7.0792, 14.6111, 5.9178 Å; angles 90.00, 90.00, 90.00 degrees
Space group Cmme (No. 67)
Inequivalent atoms, fractional coordinates:
Cs1 0.0000 0.2500 0.2446 (multiplicity 4)
In1 0.2500 0.0000 0.5000 (multiplicity 4)
Cu1 0.0000 0.0000 0.0000 (multiplicity 4)
S1 0.0000 0.1067 0.7500 (multiplicity 8)

## Properties
Raw formation energy, eV/atom: -0.5253

---

This record from Alexandria describes CsTlBr3 after structural relaxation. The functional is PBE.

Cell lengths 15.4628, 15.4628, 15.4628 Å; angles 90.00, 90.00, 90.00 degrees
Space group Fd-3m (No. 227, origin choice 2)
Inequivalent atoms, fractional coordinates:
Cs1 0.0000 0.0000 0.0000 (multiplicity 16)
Tl1 0.0000 0.0000 0.5000 (multiplicity 16)
Br1 0.0807 0.3750 0.8750 (multiplicity 48)

## Properties
Raw formation energy, eV/atom: -0.9968

---

This record from Alexandria describes Tm5PdRh4 after structural relaxation. The functional is PBE.

Cell lengths 3.3621, 3.3621, 17.2906 Å; angles 90.00, 90.00, 90.00 degrees
Space group P4/mmm (No. 123)
Inequivalent atoms, fractional coordinates:
Tm1 0.0000 0.0000 0.0000 (multiplicity 1)
Tm2 0.0000 0.0000 0.1983 (multiplicity 2)
Tm3 0.0000 0.0000 0.3957 (multiplicity 2)
Pd1 0.5000 0.5000 0.5000 (multiplicity 1)
Rh1 0.5000 0.5000 0.0992 (multiplicity 2)
Rh2 0.5000 0.5000 0.2983 (multiplicity 2)

## Properties
E_form, eV per atom: -0.97

---

Asked for D(E_F) across the records above, the calculation gives 4.760 5.425 4.258 states/eV/f.u. in order.
Asked for theoretical density across the records above, the calculation gives 4.1 4.1 11.6 g/cm3 in order.